No. 1
Cu3PdAu: optimized geometry, PBE.

Cell and atoms, written as extended XYZ:
```
5
Lattice="-1.294 -1.012 4.401 -0.797 -4.455 -1.258 4.445 -1.093 1.055" Properties=species:S:1:pos:R:3 pbc="T T T"
Au 0.000 0.000 0.000
Cu -0.398 -2.228 -0.629
Cu 2.223 -0.546 0.528
Cu -0.647 -0.506 2.201
Pd 1.177 -3.280 2.099
```

Computed properties:
formation energy = 0.94 eV/atom
V = 103.7 Å³ per cell
density of states at the Fermi level = 2.40 states/eV/cell
total magnetization = 0.00 μB per formula unit

No. 2
RbCu2SnSe4: optimized geometry, PBE.

Cell and atoms, written as extended XYZ:
```
8
Lattice="6.658 0.000 0.000 3.329 6.094 -0.053 3.329 0.446 6.078" Properties=species:S:1:pos:R:3 pbc="T T T"
Rb 0.000 0.000 0.000
Cu 3.329 2.358 2.172
Cu 9.988 4.182 3.852
Sn 6.658 3.270 3.012
Se 5.098 1.224 3.102
Se 5.098 5.316 2.922
Se 8.219 3.192 0.966
Se 8.219 3.348 5.059
```

Computed properties:
V = 246.8 Å³ per cell
energy relative to the elements, uncorrected = -388.1 meV per atom
density of states at the Fermi level = 6.43 states/eV/cell
total magnetization = 0.00 μB per formula unit

No. 3
MnNiS4: optimized geometry, PBE.

Cell and atoms, written as extended XYZ:
```
12
Lattice="6.858 0.000 0.000 0.000 6.658 0.000 -3.429 -3.329 4.735" Properties=species:S:1:pos:R:3 pbc="T T T"
Mn 3.429 3.329 0.000
Mn 3.429 0.000 0.000
Ni 1.714 -1.664 2.367
Ni -1.714 -1.664 2.367
S 3.429 3.492 2.304
S 1.806 4.993 0.082
S 5.052 4.993 0.082
S 3.429 -0.163 2.304
S 0.000 3.492 2.431
S 1.623 -1.664 4.653
S -1.623 -1.664 4.653
S 0.000 -0.163 2.431
```

Computed properties:
V = 216.2 Å³ per cell
energy relative to the elements, uncorrected = -347.7 meV per atom
density of states at the Fermi level = 4.28 states/eV/cell
total magnetization = 2.69 μB per formula unit

No. 4
Nd6PbO12: optimized geometry, PBE.

Cell and atoms, written as extended XYZ:
```
19
Lattice="6.717 0.185 -1.234 -1.513 6.547 -1.234 0.143 0.185 6.828" Properties=species:S:1:pos:R:3 pbc="T T T"
Nd 0.569 2.080 3.617
Nd 4.255 2.852 4.530
Nd 1.427 5.841 3.256
Nd 4.777 4.836 0.743
Nd 1.092 4.064 -0.170
Nd 3.919 1.075 1.104
Pb 0.000 0.000 0.000
O 2.773 1.353 3.233
O 0.371 3.945 2.066
O 3.289 3.024 -0.052
O 2.573 5.563 1.127
O 4.975 2.971 2.294
O 2.057 3.892 4.412
O -0.945 6.270 3.464
O 0.685 6.251 -1.120
O 0.086 2.237 5.982
O 6.291 0.646 0.896
O 4.662 0.665 5.480
O 5.261 4.679 -1.623
```

Computed properties:
V = 305.1 Å³ per cell
energy relative to the elements, uncorrected = -2764.7 meV per atom
density of states at the Fermi level = 12.14 states/eV/cell
total magnetization = 2.09 μB per formula unit

No. 5
LiSc2Tl2: optimized geometry, PBE.

Cell and atoms, written as extended XYZ:
```
10
Lattice="5.943 0.000 0.000 0.000 5.921 0.000 -2.971 -2.961 6.481" Properties=species:S:1:pos:R:3 pbc="T T T"
Li 4.457 2.961 0.000
Li 1.486 2.961 0.000
Sc 2.971 1.223 4.102
Sc 0.000 1.738 2.379
Sc 2.971 4.183 2.379
Sc 0.000 -1.223 4.102
Tl 0.000 1.897 5.313
Tl 2.971 1.064 1.168
Tl 0.000 4.858 1.168
Tl 2.971 -1.897 5.313
```

Computed properties:
formation energy = -0.06 eV/atom
V = 228.1 Å³ per cell
density of states at the Fermi level = 11.61 states/eV/cell
total magnetization = 0.00 μB per formula unit

No. 6
LiZr2TcSn: optimized geometry, PBE.

Cell and atoms, written as extended XYZ:
```
5
Lattice="5.024 0.000 0.000 0.000 5.185 0.000 0.000 0.000 5.024" Properties=species:S:1:pos:R:3 pbc="T T T"
Li 2.512 2.593 2.512
Sn 0.000 2.593 0.000
Zr 0.000 0.000 2.512
Zr 2.512 0.000 0.000
Tc 0.000 0.000 0.000
```

Computed properties:
formation energy = 0.32 eV/atom
V = 130.9 Å³ per cell
density of states at the Fermi level = 3.74 states/eV/cell
total magnetization = 0.00 μB per formula unit

No. 7
Pm4HgTe2S: optimized geometry, PBE.

Cell and atoms, written as extended XYZ:
```
8
Lattice="4.242 0.000 0.000 0.000 7.578 0.198 0.000 -2.585 7.202" Properties=species:S:1:pos:R:3 pbc="T T T"
Pm 2.121 1.161 1.637
Pm 2.121 3.831 5.762
Pm 0.000 -0.092 5.542
Pm 0.000 5.085 1.857
Hg 2.121 3.789 0.099
Te 2.121 -1.293 3.601
Te 0.000 2.496 3.700
S 0.000 0.000 0.000
```

Computed properties:
V = 233.7 Å³ per cell
energy relative to the elements, uncorrected = -1308.9 meV per atom
density of states at the Fermi level = 3.60 states/eV/cell
total magnetization = 0.00 μB per formula unit

No. 8
KCu2AgI4: optimized geometry, PBE.

Cell and atoms, written as extended XYZ:
```
8
Lattice="-3.490 1.264 -6.520 -4.142 -5.197 -3.107 -6.848 2.628 -0.142" Properties=species:S:1:pos:R:3 pbc="T T T"
K 0.000 0.000 0.000
Cu -4.421 -0.736 -2.093
Cu -10.059 -0.569 -7.676
Ag -7.240 -0.652 -4.884
I -5.532 1.076 -3.332
I -7.224 -3.005 -3.217
I -6.311 -1.033 -7.587
I -9.893 0.352 -5.401
```

Computed properties:
V = 298.1 Å³ per cell
energy relative to the elements, uncorrected = -464.6 meV per atom
density of states at the Fermi level = 0.00 states/eV/cell
total magnetization = 0.00 μB per formula unit